DFT (PBE) results for a geometry-optimized V2TeAs structure.

The structure belongs to space group Fm-3m (No. 225); the cell edges are 6.399, 6.399 and 6.399 Å and the angles 90.00°, 90.00° and 90.00°. The distinct sites, in fractional coordinates, are V at (0.250, 0.250, 0.250), Te at (0.000, 0.000, 0.000) and As at (0.000, 0.000, 0.500).

For the distance to the lowest polymorph of the same formula, the calculation gives 0.129 eV/atom. The calculation puts the calculated volume at 16.38 A^3/atom. The calculated total energy comes out at -25.97 eV per formula unit.

DFT (PBE) results for a geometry-optimized BaCd10Hg structure.

The structure belongs to space group Pmmm (No. 47); the cell edges are 5.028, 5.953 and 10.658 Å and the angles 90.00°, 90.00° and 90.00°. The distinct sites, in fractional coordinates, are Ba at (0.000, 0.000, 0.000), Cd at (0.000, 0.000, 0.348), Cd at (0.000, 0.500, 0.210), Cd at (0.500, 0.000, 0.500), Cd at (0.500, 0.241, 0.238), Cd at (0.500, 0.500, 0.000) and Hg at (0.000, 0.500, 0.500).

The calculation puts the calculated volume at 26.58 A^3/atom. The calculated total energy comes out at -12.35 eV per formula unit.

DFT (PBE) results for a geometry-optimized CeSm6Tl3 structure.

The structure belongs to space group Cmc2_1 (No. 36); the cell edges are 10.504, 18.326 and 6.335 Å and the angles 90.00°, 90.00° and 90.00°. The distinct sites, in fractional coordinates, are Ce at (0.000, 0.150, 0.000), Sm at (0.000, 0.023, 0.652), Sm at (0.000, 0.246, 0.596), Sm at (0.169, 0.270, 0.120), Sm at (0.174, 0.433, 0.411), Tl at (0.000, 0.412, 0.895) and Tl at (0.196, 0.106, 0.367).

For the distance to the lowest polymorph of the same formula, the calculation gives 0.092 eV/atom. The calculation puts the calculated volume at 30.48 A^3/atom. The calculated total energy comes out at -42.34 eV per formula unit.

DFT (PBE) results for a geometry-optimized Sm4Al12Pd structure.

The structure belongs to space group Im-3m (No. 229); the cell edges are 8.754, 8.754 and 8.754 Å and the angles 90.00°, 90.00° and 90.00°. The distinct sites, in fractional coordinates, are Sm at (0.250, 0.250, 0.250), Al at (0.000, 0.000, 0.293), Al at (0.000, 0.250, 0.500) and Pd at (0.000, 0.000, 0.000).

The calculation puts the calculated volume at 19.73 A^3/atom. The calculated total energy comes out at -78.08 eV per formula unit.

DFT (PBE) results for a geometry-optimized PmBePd3 structure.

The structure belongs to space group P6_3/mmc (No. 194); the cell edges are 5.9400, 5.9400 and 5.5487 Å and the angles 90.00°, 90.00° and 120.00°. The distinct sites, in fractional coordinates, are Pm at (0.3333, 0.6667, 0.2500), Be at (0.0000, 0.0000, 0.0000) and Pd at (0.1745, 0.3491, 0.7500).

For the distance to the lowest polymorph of the same formula, the calculation gives 0.000 eV/atom. The calculation puts the calculated volume at 16.96 A^3/atom. The calculated total energy comes out at -27.71 eV per formula unit.

DFT (PBE) results for a geometry-optimized Rb3AcTb2Te6 structure.

The structure belongs to space group C2/m (No. 12); the cell edges are 8.067, 13.976 and 8.988 Å and the angles 90.00°, 107.47° and 90.00°. The distinct sites, in fractional coordinates, are Rb at (0.000, 0.000, 0.000), Rb at (0.000, 0.337, 0.000), Ac at (0.000, 0.500, 0.500), Tb at (0.000, 0.167, 0.500), Te at (0.217, 0.000, 0.703) and Te at (0.243, 0.325, 0.704).

The calculation puts the calculated volume at 40.27 A^3/atom. The calculated total energy comes out at -52.13 eV per formula unit.